# TiPdI, relaxed, DFT GGA-PBE
# **Calculated total energy**: -5.10 eV/atom
# **ΔE_f (raw)**: -0.218 eV/atom
# **Density of states at the Fermi level**: 0.68 states/eV/f.u.
data_TiPdI
_chemical_formula_sum 'Ti4 Pd4 I4'
_space_group_name_H-M_alt 'A m m 2'
_space_group_IT_number 38
_space_group_name_Hall 'A 2 -2'
_cell_length_a 12.991
_cell_length_b 3.516
_cell_length_c 6.096
_cell_angle_alpha 90.00
_cell_angle_beta 90.00
_cell_angle_gamma 90.00
loop_
_atom_site_label
_atom_site_type_symbol
_atom_site_fract_x
_atom_site_fract_y
_atom_site_fract_z
_atom_site_occupancy
Ti1 Ti 0.000 0.000 0.000 1
Ti2 Ti 0.500 0.000 0.135 1
Pd1 Pd 0.377 0.000 0.800 1
I1 I 0.145 0.000 0.333 1